# Be2InTe

Crystalline Be2InTe at its relaxed geometry (PBE, Alexandria via LeMat-Bulk).

Output
The symmetry is I-42d (122). For the size of the total moment, the calculation gives 0.0 μB/f.u. The polymorph energy (0 for the lowest one) is 68 meV per atom. Its total energy is -2.9587 eV/atom.

Cell lengths 6.0816, 6.0816, 6.5750 Å; angles 62.45, 62.45, 90.00 degrees
Last column: nearest neighbours and their distance in Å.
Element x y z (fractional)
1 Be 0.6467 0.1250 0.2500  2 Te 2.41, 2 In 2.57
2 Be 0.1033 0.6250 0.2500  2 Te 2.41, 2 In 2.57
3 Be 0.3750 0.3533 0.7500  2 Te 2.41, 2 In 2.57
4 Be 0.8750 0.8967 0.7500  2 Te 2.41, 2 In 2.57
5 Te 0.0000 0.0000 0.0000  4 Be 2.41
6 Te 0.7500 0.2500 0.5000  4 Be 2.41
7 In 0.5000 0.5000 0.0000  4 Be 2.57
8 In 0.2500 0.7500 0.5000  4 Be 2.57